# 1
AlFe2W4 | PBE | relaxed

Unit cell a=6.8527 b=6.8527 c=6.8527 alpha=141.91 beta=141.91 gamma=54.97
Last column: nearest neighbours and their distance in Å.
Sites, in units of the cell vectors:
Al1 0.0000 0.0000 0.0000  6 W 2.24-2.45
Fe1 0.3870 0.3870 0.0000  1 W 2.25
Fe2 0.6130 0.6130 0.0000  1 W 2.25
W1 0.0000 0.5000 0.5000  2 Al 2.24
W2 0.2015 0.2015 0.0000  1 Fe 2.25, 1 Al 2.45
W3 0.5000 0.0000 0.5000  2 Al 2.24
W4 0.7985 0.7985 0.0000  1 Fe 2.25, 1 Al 2.45

Properties
Total magnetic moment: 2.7 μB per cell
Energy of formation: 11.57 eV/f.u.

# 2
NaTcOsS2 | PBE | relaxed

Unit cell a=4.5342 b=4.5342 c=5.3083 alpha=90.00 beta=90.00 gamma=90.00
Last column: nearest neighbours and their distance in Å.
Sites, in units of the cell vectors:
Na1 0.0000 0.0000 0.0000  2 Os 2.65
Tc1 0.5000 0.5000 0.0000  4 Na 3.21, 8 S 3.49
Os1 0.0000 0.0000 0.5000  4 S 2.27
S1 0.0000 0.5000 0.5000  2 Os 2.27
S2 0.5000 0.0000 0.5000  2 Os 2.27

Properties
Total magnetic moment: 4.4 μB per cell
Formation energy without anion corrections: 1.145 eV per atom

# 3
Ag5SnSe4Cl2 | PBE | relaxed

Unit cell a=7.9516 b=6.8578 c=6.8578 alpha=124.35 beta=90.00 gamma=90.00
Last column: nearest neighbours and their distance in Å.
Sites, in units of the cell vectors:
Ag1 0.0000 0.0000 0.0000  2 Cl 2.64, 2 Se 2.64
Ag2 0.2685 0.3181 0.6905  3 Se 2.65-2.80, 1 Cl 2.67
Ag3 0.2685 0.6905 0.3181  3 Se 2.65-2.80, 1 Cl 2.67
Ag4 0.7315 0.3181 0.6905  3 Se 2.65-2.80, 1 Cl 2.67
Ag5 0.7315 0.6905 0.3181  3 Se 2.65-2.80, 1 Cl 2.67
Sn1 0.5000 0.0620 0.0620  4 Se 2.56-2.61
Se1 0.2358 0.2910 0.2910  1 Sn 2.56, 3 Ag 2.64-2.65
Se2 0.5000 0.0115 0.6545  1 Sn 2.61, 4 Ag 2.70-2.80
Se3 0.5000 0.6545 0.0115  1 Sn 2.61, 4 Ag 2.70-2.80
Se4 0.7642 0.2910 0.2910  1 Sn 2.56, 3 Ag 2.64-2.65
Cl1 0.0000 0.5791 0.9269  3 Ag 2.64-2.67
Cl2 0.0000 0.9269 0.5791  3 Ag 2.64-2.67

Properties
Total magnetic moment: 0.0 μB per cell
Formation energy without anion corrections: -0.250 eV per atom

# 4
Na12CdAu3 | PBE | relaxed

Unit cell a=4.7315 b=4.7315 c=18.9552 alpha=90.00 beta=90.00 gamma=90.00
Last column: nearest neighbours and their distance in Å.
Sites, in units of the cell vectors:
Na1 0.0000 0.0000 0.0000  8 Na 3.31, 4 Au 3.35
Na2 0.0000 0.0000 0.2426  8 Na 3.29, 4 Au 3.35
Na3 0.0000 0.0000 0.5000  4 Cd 3.35, 8 Na 3.51
Na4 0.0000 0.0000 0.7574  8 Na 3.29, 4 Au 3.35
Na5 0.0000 0.5000 0.1220  8 Na 3.29-3.35, 4 Au 3.31-3.32
Na6 0.0000 0.5000 0.3632  2 Au 3.26, 8 Na 3.29-3.51, 2 Cd 3.51
Na7 0.0000 0.5000 0.6368  2 Au 3.26, 8 Na 3.29-3.51, 2 Cd 3.51
Na8 0.0000 0.5000 0.8780  8 Na 3.29-3.35, 4 Au 3.31-3.32
Na9 0.5000 0.0000 0.1220  8 Na 3.29-3.35, 4 Au 3.31-3.32
Na10 0.5000 0.0000 0.3632  2 Au 3.26, 8 Na 3.29-3.51, 2 Cd 3.51
Na11 0.5000 0.0000 0.6368  2 Au 3.26, 8 Na 3.29-3.51, 2 Cd 3.51
Na12 0.5000 0.0000 0.8780  8 Na 3.29-3.35, 4 Au 3.31-3.32
Cd1 0.5000 0.5000 0.5000  12 Na 3.35-3.51
Au1 0.5000 0.5000 0.0000  12 Na 3.31-3.35
Au2 0.5000 0.5000 0.2447  12 Na 3.26-3.35
Au3 0.5000 0.5000 0.7553  12 Na 3.26-3.35

Properties
Total magnetic moment: 0.0 μB per cell
Energy of formation: -2.00 eV/f.u.

# 5
SrHoIn6 | PBE | relaxed

Unit cell a=4.7369 b=4.7369 c=9.5086 alpha=90.00 beta=90.00 gamma=90.00
Last column: nearest neighbours and their distance in Å.
Sites, in units of the cell vectors:
Sr1 0.0000 0.0000 0.0000  12 In 3.35-3.42
Ho1 0.0000 0.0000 0.5000  12 In 3.29-3.35
In1 0.0000 0.5000 0.2593  8 In 3.29-3.42, 2 Ho 3.29, 2 Sr 3.42
In2 0.0000 0.5000 0.7407  8 In 3.29-3.42, 2 Ho 3.29, 2 Sr 3.42
In3 0.5000 0.0000 0.2593  8 In 3.29-3.42, 2 Ho 3.29, 2 Sr 3.42
In4 0.5000 0.0000 0.7407  8 In 3.29-3.42, 2 Ho 3.29, 2 Sr 3.42
In5 0.5000 0.5000 0.0000  4 Sr 3.35, 8 In 3.42
In6 0.5000 0.5000 0.5000  8 In 3.29, 4 Ho 3.35

Properties
Total magnetic moment: 0.0 μB per cell
Energy of formation: -2.81 eV/f.u.

# 6
Hf2TiGe | PBE | relaxed

Unit cell a=4.2653 b=4.2653 c=4.1057 alpha=90.00 beta=90.00 gamma=90.00
Last column: nearest neighbours and their distance in Å.
Sites, in units of the cell vectors:
Hf1 0.0000 0.5000 0.0000  4 Ge 2.96, 4 Ti 2.96, 4 Hf 3.02
Hf2 0.5000 0.0000 0.0000  4 Ge 2.96, 4 Ti 2.96, 4 Hf 3.02
Ti1 0.0000 0.0000 0.5000  8 Hf 2.96, 4 Ge 3.02
Ge1 0.5000 0.5000 0.5000  8 Hf 2.96, 4 Ti 3.02

Properties
Total magnetic moment: 0.0 μB per cell
Energy of formation: -1.18 eV/f.u.

# 7
Zr2Bi2S | PBE | relaxed

Unit cell a=7.3680 b=7.3680 c=4.4166 alpha=90.00 beta=90.00 gamma=90.00
Last column: nearest neighbours and their distance in Å.
Sites, in units of the cell vectors:
Zr1 0.1586 0.3414 0.0000  2 S 2.77, 2 Bi 2.99
Zr2 0.3414 0.8414 0.0000  2 S 2.77, 2 Bi 2.99
Zr3 0.6586 0.1586 0.0000  2 S 2.77, 2 Bi 2.99
Zr4 0.8414 0.6586 0.0000  2 S 2.77, 2 Bi 2.99
Bi1 0.1476 0.6476 0.5000  6 Zr 2.99-3.16, 1 Bi 3.08
Bi2 0.3524 0.1476 0.5000  6 Zr 2.99-3.16, 1 Bi 3.08
Bi3 0.6476 0.8524 0.5000  6 Zr 2.99-3.16, 1 Bi 3.08
Bi4 0.8524 0.3524 0.5000  6 Zr 2.99-3.16, 1 Bi 3.08
S1 0.0000 0.0000 0.0000  4 Zr 2.77
S2 0.5000 0.5000 0.0000  4 Zr 2.77

Properties
Total magnetic moment: 0.0 μB per cell
Formation energy without anion corrections: -0.486 eV per atom

# 8
Ce2Ga2Pt3 | PBE | relaxed

Unit cell a=9.9428 b=9.9428 c=7.2561 alpha=90.00 beta=90.00 gamma=156.48
Last column: nearest neighbours and their distance in Å.
Sites, in units of the cell vectors:
Ce1 0.0620 0.9380 0.7500  5 Pt 2.95-3.25
Ce2 0.1484 0.8516 0.2500  6 Pt 2.98-3.13, 4 Ga 3.12
Ce3 0.8516 0.1484 0.7500  6 Pt 2.98-3.13, 4 Ga 3.12
Ce4 0.9380 0.0620 0.2500  5 Pt 2.95-3.25
Ga1 0.3065 0.6935 0.0538  4 Pt 2.57-2.67, 1 Ga 2.85
Ga2 0.3065 0.6935 0.4462  4 Pt 2.57-2.67, 1 Ga 2.85
Ga3 0.6935 0.3065 0.5538  4 Pt 2.57-2.67, 1 Ga 2.85
Ga4 0.6935 0.3065 0.9462  4 Pt 2.57-2.67, 1 Ga 2.85
Pt1 0.2289 0.7711 0.7500  6 Ga 2.57-2.67
Pt2 0.4335 0.5665 0.5449  1 Ga 2.57, 1 Pt 2.67
Pt3 0.4335 0.5665 0.9551  1 Ga 2.57, 1 Pt 2.67
Pt4 0.5665 0.4335 0.0449  1 Ga 2.57, 1 Pt 2.67
Pt5 0.5665 0.4335 0.4551  1 Ga 2.57, 1 Pt 2.67
Pt6 0.7711 0.2289 0.2500  6 Ga 2.57-2.67

Properties
Total magnetic moment: 1.8 μB per cell
Energy of formation: -7.05 eV/f.u.

# 9
AcAl9Fe2 | PBE | relaxed

Unit cell a=8.3268 b=8.3268 c=8.3268 alpha=100.02 beta=100.02 gamma=130.68
Last column: nearest neighbours and their distance in Å.
Sites, in units of the cell vectors:
Ac1 0.3750 0.6250 0.7500  18 Al 3.36-3.52, 4 Fe 3.73
Ac2 0.6250 0.3750 0.2500  18 Al 3.36-3.52, 4 Fe 3.73
Al1 0.1250 0.8750 0.2500  8 Al 2.79, 4 Fe 2.81
Al2 0.1467 0.5741 0.3257  2 Fe 2.54-2.55, 6 Al 2.64-2.81
Al3 0.1467 0.8210 0.5725  2 Fe 2.54-2.55, 6 Al 2.64-2.81
Al4 0.1790 0.2515 0.3257  2 Fe 2.54-2.55, 6 Al 2.64-2.81
Al5 0.1790 0.8533 0.9275  2 Fe 2.54-2.55, 6 Al 2.64-2.81
Al6 0.2515 0.1790 0.8257  2 Fe 2.54-2.55, 6 Al 2.64-2.81
Al7 0.2515 0.4259 0.0725  2 Fe 2.54-2.55, 6 Al 2.64-2.81
Al8 0.4259 0.2515 0.5725  2 Fe 2.54-2.55, 6 Al 2.64-2.81
Al9 0.4259 0.8533 0.1743  2 Fe 2.54-2.55, 6 Al 2.64-2.81
Al10 0.5741 0.1467 0.8257  2 Fe 2.54-2.55, 6 Al 2.64-2.81
Al11 0.5741 0.7485 0.4275  2 Fe 2.54-2.55, 6 Al 2.64-2.81
Al12 0.7485 0.5741 0.9275  2 Fe 2.54-2.55, 6 Al 2.64-2.81
Al13 0.7485 0.8210 0.1743  2 Fe 2.54-2.55, 6 Al 2.64-2.81
Al14 0.8210 0.1467 0.0725  2 Fe 2.54-2.55, 6 Al 2.64-2.81
Al15 0.8210 0.7485 0.6743  2 Fe 2.54-2.55, 6 Al 2.64-2.81
Al16 0.8533 0.1790 0.4275  2 Fe 2.54-2.55, 6 Al 2.64-2.81
Al17 0.8533 0.4259 0.6743  2 Fe 2.54-2.55, 6 Al 2.64-2.81
Al18 0.8750 0.1250 0.7500  8 Al 2.79, 4 Fe 2.81
Fe1 0.0000 0.0000 0.0000  10 Al 2.54-2.81
Fe2 0.0000 0.0000 0.5000  10 Al 2.54-2.81
Fe3 0.0000 0.5000 0.0000  10 Al 2.54-2.81
Fe4 0.5000 0.0000 0.5000  10 Al 2.54-2.81

Properties
Total magnetic moment: 0.0 μB per cell
Polymorph energy (0 for the lowest one): 33 meV/atom
Energy of formation: -3.84 eV/f.u.

# 10
SbAs2S4 | PBE | relaxed

Unit cell a=6.2320 b=6.2320 c=6.2320 alpha=117.74 beta=117.74 gamma=93.97
Last column: nearest neighbours and their distance in Å.
Sites, in units of the cell vectors:
Sb1 0.0000 0.0000 0.0000  4 S 2.68
As1 0.2500 0.7500 0.5000  4 S 2.47
As2 0.7500 0.2500 0.5000  4 S 2.47
S1 0.1250 0.5966 0.0000  2 As 2.47, 1 Sb 2.68
S2 0.4034 0.4034 0.5284  2 As 2.47, 1 Sb 2.68
S3 0.5966 0.1250 0.0000  2 As 2.47, 1 Sb 2.68
S4 0.8750 0.8750 0.4716  2 As 2.47, 1 Sb 2.68

Properties
Total magnetic moment: 0.0 μB per cell
Formation energy without anion corrections: 0.157 eV per atom